Record 1
KPuVS4 | PBE | optimized geometry

a = 6.517 Å, b = 6.491 Å, c = 8.802 Å
α = 90.00°, β = 107.69°, γ = 90.00°
Space group P2_1/m (No. 11)
One atom of each set of equivalent atoms:
K (0.228, 0.250, 0.435) x2
Pu (0.274, 0.250, 0.950) x2
V (0.279, 0.750, 0.174) x2
S (0.073, 0.750, 0.330) x2
S (0.078, 0.750, 0.927) x2
S (0.493, 0.509, 0.786) x4

## Properties
energy relative to the elements, uncorrected = -8.90 eV/f.u.
raw total energy = -7.1369 eV per atom
total magnetization = 12.0 Bohr magnetons per cell

***

Record 2
K3Pu3WS8 | PBE | optimized geometry

a = 13.671 Å, b = 7.918 Å, c = 8.777 Å
α = 90.00°, β = 121.08°, γ = 90.00°
Space group C2/m (No. 12)
One atom of each set of equivalent atoms:
K (0.000, 0.000, 0.000) x2
K (0.250, 0.250, 0.000) x4
Pu (0.000, 0.500, 0.500) x2
Pu (0.250, 0.250, 0.500) x4
W (0.000, 0.000, 0.500) x2
S (0.014, 0.226, 0.313) x8
S (0.215, 0.000, 0.687) x4
S (0.236, 0.500, 0.706) x4

## Properties
energy relative to the elements, uncorrected = -19.40 eV/f.u.
raw total energy = -7.4440 eV per atom
total magnetization = 13.3 Bohr magnetons per cell

***

Record 3
K2YPuS4 | PBE | optimized geometry

a = 7.093 Å, b = 4.092 Å, c = 7.718 Å
α = 90.00°, β = 107.88°, γ = 90.00°
Space group P2/m (No. 10)
One atom of each set of equivalent atoms:
K (0.000, 0.000, 0.000) x1
K (0.500, 0.500, 0.000) x1
Y (0.000, 0.500, 0.500) x1
Pu (0.500, 0.000, 0.500) x1
S (0.231, 0.000, 0.703) x2
S (0.265, 0.500, 0.300) x2

## Properties
energy relative to the elements, uncorrected = -13.82 eV/f.u.
raw total energy = -6.6654 eV per atom
total magnetization = 5.0 Bohr magnetons per cell

***

Record 4
K3YPu3S8 | PBE | optimized geometry

a = 8.1124 Å, b = 8.1124 Å, c = 22.2591 Å
α = 90.00°, β = 90.00°, γ = 120.00°
Space group R-3m (No. 166, hexagonal axes)
One atom of each set of equivalent atoms:
K (0.0000, 0.5000, 0.0000) x9
Y (0.0000, 0.0000, 0.5000) x3
Pu (0.0000, 0.5000, 0.5000) x9
S (0.0000, 0.0000, 0.2324) x6
S (0.0012, 0.5006, 0.7685) x18

## Properties
energy relative to the elements, uncorrected = -24.76 eV/f.u.
raw total energy = -7.3690 eV per atom
total magnetization = 42.0 Bohr magnetons per cell

***

Record 5
K3YPu2S6 | PBE | optimized geometry

a = 7.094 Å, b = 12.287 Å, c = 7.717 Å
α = 90.00°, β = 107.84°, γ = 90.00°
Space group C2/m (No. 12)
One atom of each set of equivalent atoms:
K (0.000, 0.000, 0.000) x2
K (0.000, 0.333, 0.000) x4
Y (0.000, 0.500, 0.500) x2
Pu (0.000, 0.167, 0.500) x4
S (0.233, 0.334, 0.701) x8
S (0.235, 0.000, 0.701) x4

## Properties
energy relative to the elements, uncorrected = -20.18 eV/f.u.
raw total energy = -6.9472 eV per atom
total magnetization = 20.0 Bohr magnetons per cell

***

Record 6
K2PuZnS4 | PBE | optimized geometry

a = 11.204 Å, b = 12.023 Å, c = 8.247 Å
α = 90.00°, β = 132.43°, γ = 90.00°
Space group C2/c (No. 15)
One atom of each set of equivalent atoms:
K (0.000, 0.000, 0.000) x4
K (0.250, 0.250, 0.000) x4
Pu (0.000, 0.500, 0.000) x4
Zn (0.250, 0.250, 0.500) x4
S (0.043, 0.271, 0.497) x8
S (0.208, 0.499, 0.445) x8

## Properties
energy relative to the elements, uncorrected = -8.88 eV/f.u.
raw total energy = -5.3986 eV per atom
total magnetization = 16.0 Bohr magnetons per cell

***

Record 7
K3Pu3ZnS8 | PBE | optimized geometry

a = 13.990 Å, b = 7.916 Å, c = 8.774 Å
α = 90.00°, β = 122.33°, γ = 90.00°
Space group C2/m (No. 12)
One atom of each set of equivalent atoms:
K (0.000, 0.000, 0.000) x2
K (0.250, 0.250, 0.000) x4
Pu (0.000, 0.500, 0.500) x2
Pu (0.250, 0.250, 0.500) x4
Zn (0.000, 0.000, 0.500) x2
S (0.018, 0.235, 0.317) x8
S (0.234, 0.500, 0.702) x4
S (0.248, 0.000, 0.702) x4

## Properties
energy relative to the elements, uncorrected = -19.45 eV/f.u.
raw total energy = -6.6689 eV per atom
total magnetization = 8.3 Bohr magnetons per cell

***

Record 8
K4Pu3ZnS8 | PBE | optimized geometry

a = 8.0816 Å, b = 8.0816 Å, c = 21.8952 Å
α = 90.00°, β = 90.00°, γ = 120.00°
Space group R-3m (No. 166, hexagonal axes)
One atom of each set of equivalent atoms:
K (0.0000, 0.0000, 0.0000) x3
K (0.0000, 0.5000, 0.0000) x9
Pu (0.0000, 0.5000, 0.5000) x9
Zn (0.0000, 0.0000, 0.5000) x3
S (0.0000, 0.0000, 0.2335) x6
S (0.0065, 0.5033, 0.2316) x18

## Properties
energy relative to the elements, uncorrected = -21.92 eV/f.u.
raw total energy = -6.4748 eV per atom
total magnetization = 42.0 Bohr magnetons per cell

***

Record 9
KPuZnS3 | PBE | optimized geometry

a = 8.768 Å, b = 4.041 Å, c = 9.478 Å
α = 90.00°, β = 105.91°, γ = 90.00°
Space group P2_1/m (No. 11)
One atom of each set of equivalent atoms:
K (0.200, 0.250, 0.225) x2
Pu (0.332, 0.750, 0.852) x2
Zn (0.085, 0.250, 0.606) x2
S (0.114, 0.250, 0.855) x2
S (0.193, 0.750, 0.530) x2
S (0.458, 0.750, 0.149) x2

## Properties
energy relative to the elements, uncorrected = -7.72 eV/f.u.
raw total energy = -6.1340 eV per atom
total magnetization = 10.0 Bohr magnetons per cell

***

Record 10
K2PuZrS4 | PBE | optimized geometry

a = 6.853 Å, b = 3.941 Å, c = 7.723 Å
α = 90.00°, β = 107.03°, γ = 90.00°
Space group P2/m (No. 10)
One atom of each set of equivalent atoms:
K (0.000, 0.000, 0.000) x1
K (0.500, 0.500, 0.000) x1
Pu (0.000, 0.500, 0.500) x1
Zr (0.500, 0.000, 0.500) x1
S (0.250, 0.000, 0.702) x2
S (0.281, 0.500, 0.301) x2

## Properties
energy relative to the elements, uncorrected = -12.34 eV/f.u.
raw total energy = -6.7409 eV per atom
total magnetization = 5.8 Bohr magnetons per cell

***

Record 11
K4Pu3ZrS8 | PBE | optimized geometry

a = 8.0737 Å, b = 8.0737 Å, c = 22.0484 Å
α = 90.00°, β = 90.00°, γ = 120.00°
Space group R-3m (No. 166, hexagonal axes)
One atom of each set of equivalent atoms:
K (0.0000, 0.0000, 0.0000) x3
K (0.0000, 0.5000, 0.0000) x9
Pu (0.0000, 0.5000, 0.5000) x9
Zr (0.0000, 0.0000, 0.5000) x3
S (0.0000, 0.0000, 0.2342) x6
S (0.0160, 0.5080, 0.2330) x18

## Properties
energy relative to the elements, uncorrected = -25.19 eV/f.u.
raw total energy = -7.1338 eV per atom
total magnetization = 48.0 Bohr magnetons per cell

***

Record 12
KPuSb2 | PBE | optimized geometry

a = 4.6206 Å, b = 4.6206 Å, c = 24.3296 Å
α = 90.00°, β = 90.00°, γ = 120.00°
Space group R3m (No. 160, hexagonal axes)
One atom of each set of equivalent atoms:
K (0.0000, 0.0000, 0.0000) x3
Pu (0.0000, 0.0000, 0.8295) x3
Sb (0.0000, 0.0000, 0.2266) x3
Sb (0.0000, 0.0000, 0.4336) x3

## Properties
energy relative to the elements, uncorrected = -1.13 eV/f.u.
E above lowest polymorph = 164 meV/atom
raw total energy = -6.2014 eV per atom
total magnetization = 14.0 Bohr magnetons per cell